w | A relaxed LiCoSiGe crystal, computed with PBE.

Cell lengths 5.7929, 5.7929, 5.7929 Å; angles 90.00, 90.00, 90.00 degrees
With the nearest neighbours (Å) after each atom.
Space group F-43m (No. 216)
Unique sites:
Li 0.0000 0.0000 0.0000 [4 per cell]  4 Ge 2.51, 4 Si 2.51
Co 0.0000 0.0000 0.5000 [4 per cell]  4 Ge 2.51, 4 Si 2.51
Si 0.2500 0.2500 0.2500 [4 per cell]  4 Li 2.51, 4 Co 2.51
Ge 0.2500 0.2500 0.7500 [4 per cell]  4 Li 2.51, 4 Co 2.51

x | A relaxed LiCoSiGe crystal, computed with PBE.

Cell lengths 5.8724, 5.8724, 5.8724 Å; angles 90.00, 90.00, 90.00 degrees
With the nearest neighbours (Å) after each atom.
Space group F-43m (No. 216)
Unique sites:
Li 0.0000 0.0000 0.0000 [4 per cell]  4 Ge 2.54, 4 Co 2.54
Co 0.2500 0.2500 0.2500 [4 per cell]  4 Li 2.54, 4 Si 2.54
Si 0.0000 0.0000 0.5000 [4 per cell]  4 Co 2.54, 4 Ge 2.54
Ge 0.2500 0.2500 0.7500 [4 per cell]  4 Li 2.54, 4 Si 2.54

Quick one: most stable of them? w

w | A relaxed LiTaCoGe crystal, computed with PBE.

Cell lengths 5.9358, 5.9358, 5.9358 Å; angles 90.00, 90.00, 90.00 degrees
With the nearest neighbours (Å) after each atom.
Space group F-43m (No. 216)
Unique sites:
Li 0.0000 0.0000 0.0000 [4 per cell]  4 Ge 2.57, 4 Ta 2.57
Ta 0.2500 0.2500 0.7500 [4 per cell]  4 Li 2.57, 4 Co 2.57
Co 0.0000 0.0000 0.5000 [4 per cell]  4 Ge 2.57, 4 Ta 2.57
Ge 0.2500 0.2500 0.2500 [4 per cell]  4 Li 2.57, 4 Co 2.57

x | A relaxed LiTaCoGe crystal, computed with PBE.

Cell lengths 6.0160, 6.0160, 6.0160 Å; angles 90.00, 90.00, 90.00 degrees
With the nearest neighbours (Å) after each atom.
Space group F-43m (No. 216)
Unique sites:
Li 0.0000 0.0000 0.0000 [4 per cell]  4 Ta 2.61, 4 Co 2.61
Ta 0.2500 0.2500 0.2500 [4 per cell]  4 Ge 2.61, 4 Li 2.61
Co 0.2500 0.2500 0.7500 [4 per cell]  4 Ge 2.61, 4 Li 2.61
Ge 0.0000 0.0000 0.5000 [4 per cell]  4 Ta 2.61, 4 Co 2.61

Quick one: most stable of them? w

w | A relaxed LiZrCoGe crystal, computed with PBE.

Cell lengths 6.1523, 6.1523, 6.1523 Å; angles 90.00, 90.00, 90.00 degrees
With the nearest neighbours (Å) after each atom.
Space group F-43m (No. 216)
Unique sites:
Li 0.0000 0.0000 0.0000 [4 per cell]  4 Zr 2.66, 4 Co 2.66
Zr 0.2500 0.2500 0.7500 [4 per cell]  4 Ge 2.66, 4 Li 2.66
Co 0.2500 0.2500 0.2500 [4 per cell]  4 Ge 2.66, 4 Li 2.66
Ge 0.0000 0.0000 0.5000 [4 per cell]  4 Zr 2.66, 4 Co 2.66

x | A relaxed LiZrCoGe crystal, computed with PBE.

Cell lengths 6.2603, 6.2603, 6.2603 Å; angles 90.00, 90.00, 90.00 degrees
With the nearest neighbours (Å) after each atom.
Space group F-43m (No. 216)
Unique sites:
Li 0.0000 0.0000 0.0000 [4 per cell]  4 Ge 2.71, 4 Co 2.71
Zr 0.0000 0.0000 0.5000 [4 per cell]  4 Ge 2.71, 4 Co 2.71
Co 0.2500 0.2500 0.7500 [4 per cell]  4 Zr 2.71, 4 Li 2.71
Ge 0.2500 0.2500 0.2500 [4 per cell]  4 Zr 2.71, 4 Li 2.71

Quick one: most stable of them? x

w | A relaxed LuCoGePd crystal, computed with PBE.

Cell lengths 6.4607, 6.4607, 6.4607 Å; angles 90.00, 90.00, 90.00 degrees
With the nearest neighbours (Å) after each atom.
Space group F-43m (No. 216)
Unique sites:
Lu 0.0000 0.0000 0.0000 [4 per cell]  4 Ge 2.80, 4 Pd 2.80
Co 0.0000 0.0000 0.5000 [4 per cell]  4 Pd 2.80, 4 Ge 2.80
Ge 0.2500 0.2500 0.2500 [4 per cell]  4 Co 2.80, 4 Lu 2.80
Pd 0.2500 0.2500 0.7500 [4 per cell]  4 Lu 2.80, 4 Co 2.80

x | A relaxed LuCoGePd crystal, computed with PBE.

Cell lengths 6.3518, 6.3518, 6.3518 Å; angles 90.00, 90.00, 90.00 degrees
With the nearest neighbours (Å) after each atom.
Space group F-43m (No. 216)
Unique sites:
Lu 0.0000 0.0000 0.0000 [4 per cell]  4 Pd 2.75, 4 Co 2.75
Co 0.2500 0.2500 0.7500 [4 per cell]  4 Ge 2.75, 4 Lu 2.75
Ge 0.0000 0.0000 0.5000 [4 per cell]  4 Co 2.75, 4 Pd 2.75
Pd 0.2500 0.2500 0.2500 [4 per cell]  4 Ge 2.75, 4 Lu 2.75

Quick one: most stable of them? x

w | A relaxed LuCoTcGe crystal, computed with PBE.

Cell lengths 6.4194, 6.4194, 6.4194 Å; angles 90.00, 90.00, 90.00 degrees
With the nearest neighbours (Å) after each atom.
Space group F-43m (No. 216)
Unique sites:
Lu 0.0000 0.0000 0.0000 [4 per cell]  4 Tc 2.78, 4 Ge 2.78
Co 0.0000 0.0000 0.5000 [4 per cell]  4 Ge 2.78, 4 Tc 2.78
Tc 0.2500 0.2500 0.7500 [4 per cell]  4 Co 2.78, 4 Lu 2.78
Ge 0.2500 0.2500 0.2500 [4 per cell]  4 Lu 2.78, 4 Co 2.78

x | A relaxed LuCoTcGe crystal, computed with PBE.

Cell lengths 6.2577, 6.2577, 6.2577 Å; angles 90.00, 90.00, 90.00 degrees
With the nearest neighbours (Å) after each atom.
Space group F-43m (No. 216)
Unique sites:
Lu 0.0000 0.0000 0.0000 [4 per cell]  4 Tc 2.71, 4 Co 2.71
Co 0.2500 0.2500 0.7500 [4 per cell]  4 Ge 2.71, 4 Lu 2.71
Tc 0.2500 0.2500 0.2500 [4 per cell]  4 Ge 2.71, 4 Lu 2.71
Ge 0.0000 0.0000 0.5000 [4 per cell]  4 Co 2.71, 4 Tc 2.71

Quick one: most stable of them? x

w | A relaxed LuZnCoGe crystal, computed with PBE.

Cell lengths 6.3029, 6.3029, 6.3029 Å; angles 90.00, 90.00, 90.00 degrees
With the nearest neighbours (Å) after each atom.
Space group F-43m (No. 216)
Unique sites:
Lu 0.0000 0.0000 0.0000 [4 per cell]  4 Co 2.73, 4 Zn 2.73
Zn 0.2500 0.2500 0.2500 [4 per cell]  4 Ge 2.73, 4 Lu 2.73
Co 0.2500 0.2500 0.7500 [4 per cell]  4 Ge 2.73, 4 Lu 2.73
Ge 0.0000 0.0000 0.5000 [4 per cell]  4 Co 2.73, 4 Zn 2.73

x | A relaxed LuZnCoGe crystal, computed with PBE.

Cell lengths 6.3484, 6.3484, 6.3484 Å; angles 90.00, 90.00, 90.00 degrees
With the nearest neighbours (Å) after each atom.
Space group F-43m (No. 216)
Unique sites:
Lu 0.0000 0.0000 0.0000 [4 per cell]  4 Ge 2.75, 4 Zn 2.75
Zn 0.2500 0.2500 0.7500 [4 per cell]  4 Co 2.75, 4 Lu 2.75
Co 0.0000 0.0000 0.5000 [4 per cell]  4 Ge 2.75, 4 Zn 2.75
Ge 0.2500 0.2500 0.2500 [4 per cell]  4 Co 2.75, 4 Lu 2.75

Quick one: most stable of them? x

w | A relaxed MgScCoGe crystal, computed with PBE.

Cell lengths 6.2298, 6.2298, 6.2298 Å; angles 90.00, 90.00, 90.00 degrees
With the nearest neighbours (Å) after each atom.
Space group F-43m (No. 216)
Unique sites:
Mg 0.0000 0.0000 0.0000 [4 per cell]  4 Ge 2.70, 4 Sc 2.70
Sc 0.2500 0.2500 0.7500 [4 per cell]  4 Co 2.70, 4 Mg 2.70
Co 0.0000 0.0000 0.5000 [4 per cell]  4 Ge 2.70, 4 Sc 2.70
Ge 0.2500 0.2500 0.2500 [4 per cell]  4 Co 2.70, 4 Mg 2.70

x | A relaxed MgScCoGe crystal, computed with PBE.

Cell lengths 6.2848, 6.2848, 6.2848 Å; angles 90.00, 90.00, 90.00 degrees
With the nearest neighbours (Å) after each atom.
Space group F-43m (No. 216)
Unique sites:
Mg 0.0000 0.0000 0.0000 [4 per cell]  4 Sc 2.72, 4 Co 2.72
Sc 0.2500 0.2500 0.2500 [4 per cell]  4 Ge 2.72, 4 Mg 2.72
Co 0.2500 0.2500 0.7500 [4 per cell]  4 Ge 2.72, 4 Mg 2.72
Ge 0.0000 0.0000 0.5000 [4 per cell]  4 Co 2.72, 4 Sc 2.72

Quick one: most stable of them? w

w | A relaxed MgTaCoGe crystal, computed with PBE.

Cell lengths 6.2368, 6.2368, 6.2368 Å; angles 90.00, 90.00, 90.00 degrees
With the nearest neighbours (Å) after each atom.
Space group F-43m (No. 216)
Unique sites:
Mg 0.0000 0.0000 0.0000 [4 per cell]  4 Ta 2.70, 4 Co 2.70
Ta 0.2500 0.2500 0.2500 [4 per cell]  4 Ge 2.70, 4 Mg 2.70
Co 0.2500 0.2500 0.7500 [4 per cell]  4 Ge 2.70, 4 Mg 2.70
Ge 0.0000 0.0000 0.5000 [4 per cell]  4 Ta 2.70, 4 Co 2.70

x | A relaxed MgTaCoGe crystal, computed with PBE.

Cell lengths 6.2365, 6.2365, 6.2365 Å; angles 90.00, 90.00, 90.00 degrees
With the nearest neighbours (Å) after each atom.
Space group F-43m (No. 216)
Unique sites:
Mg 0.0000 0.0000 0.0000 [4 per cell]  4 Ge 2.70, 4 Ta 2.70
Ta 0.2500 0.2500 0.7500 [4 per cell]  4 Co 2.70, 4 Mg 2.70
Co 0.0000 0.0000 0.5000 [4 per cell]  4 Ge 2.70, 4 Ta 2.70
Ge 0.2500 0.2500 0.2500 [4 per cell]  4 Co 2.70, 4 Mg 2.70

Quick one: most stable of them? x

w | A relaxed MgZnCoGe crystal, computed with PBE.

Cell lengths 6.0947, 6.0947, 6.0947 Å; angles 90.00, 90.00, 90.00 degrees
With the nearest neighbours (Å) after each atom.
Space group F-43m (No. 216)
Unique sites:
Mg 0.0000 0.0000 0.0000 [4 per cell]  4 Ge 2.64, 4 Zn 2.64
Zn 0.2500 0.2500 0.7500 [4 per cell]  4 Co 2.64, 4 Mg 2.64
Co 0.0000 0.0000 0.5000 [4 per cell]  4 Ge 2.64, 4 Zn 2.64
Ge 0.2500 0.2500 0.2500 [4 per cell]  4 Co 2.64, 4 Mg 2.64

x | A relaxed MgZnCoGe crystal, computed with PBE.

Cell lengths 6.1021, 6.1021, 6.1021 Å; angles 90.00, 90.00, 90.00 degrees
With the nearest neighbours (Å) after each atom.
Space group F-43m (No. 216)
Unique sites:
Mg 0.0000 0.0000 0.0000 [4 per cell]  4 Co 2.64, 4 Zn 2.64
Zn 0.2500 0.2500 0.7500 [4 per cell]  4 Ge 2.64, 4 Mg 2.64
Co 0.2500 0.2500 0.2500 [4 per cell]  4 Ge 2.64, 4 Mg 2.64
Ge 0.0000 0.0000 0.5000 [4 per cell]  4 Co 2.64, 4 Zn 2.64

Quick one: most stable of them? w

w | A relaxed YCoGeMo crystal, computed with PBE.

Cell lengths 6.4103, 6.4103, 6.4103 Å; angles 90.00, 90.00, 90.00 degrees
With the nearest neighbours (Å) after each atom.
Space group F-43m (No. 216)
Unique sites:
Y 0.0000 0.0000 0.0000 [4 per cell]  4 Mo 2.78, 4 Co 2.78
Co 0.2500 0.2500 0.7500 [4 per cell]  4 Ge 2.78, 4 Y 2.78
Ge 0.0000 0.0000 0.5000 [4 per cell]  4 Mo 2.78, 4 Co 2.78
Mo 0.2500 0.2500 0.2500 [4 per cell]  4 Ge 2.78, 4 Y 2.78

x | A relaxed YCoGeMo crystal, computed with PBE.

Cell lengths 6.5484, 6.5484, 6.5484 Å; angles 90.00, 90.00, 90.00 degrees
With the nearest neighbours (Å) after each atom.
Space group F-43m (No. 216)
Unique sites:
Y 0.0000 0.0000 0.0000 [4 per cell]  4 Ge 2.84, 4 Mo 2.84
Co 0.0000 0.0000 0.5000 [4 per cell]  4 Mo 2.84, 4 Ge 2.84
Ge 0.2500 0.2500 0.2500 [4 per cell]  4 Co 2.84, 4 Y 2.84
Mo 0.2500 0.2500 0.7500 [4 per cell]  4 Co 2.84, 4 Y 2.84

Quick one: most stable of them? w